# 1
The following is a DFT calculation (meta-GGA SCAN) of a crystal of InReSe2 relaxed with PBEsol.

Calculated values
- Formation energy without anion corrections: 0.138 eV per atom
- Symmetry: P2/m, No. 10

Lattice parameters (Å, degrees): 5.2379 3.3143 5.4392 90.00 116.37 90.00
Closest atoms and distances in Å follow each position.
Fractional positions:
In: 0.0000 0.0000 0.0000  2 Re 2.72
Re: 0.0000 0.0000 0.5000  4 Se 2.47, 2 In 2.72
Se: 0.3891 0.5000 0.6760  2 Re 2.47, 1 Se 2.64
Se: 0.6109 0.5000 0.3240  2 Re 2.47, 1 Se 2.64


# 2
The following is a DFT calculation (meta-GGA SCAN) of a crystal of InReSe relaxed with PBEsol.

Calculated values
- Formation energy without anion corrections: 0.893 eV per atom
- Symmetry: F-43m, No. 216
- Relative energy among the computed polymorphs: 13.48 kcal/mol of atoms

Lattice parameters (Å, degrees): 6.2327 6.2327 6.2327 90.00 90.00 90.00
Closest atoms and distances in Å follow each position.
Fractional positions:
In: 0.0000 0.0000 0.0000  4 Re 2.70
In: 0.0000 0.5000 0.5000  4 Re 2.70
In: 0.5000 0.0000 0.5000  4 Re 2.70
In: 0.5000 0.5000 0.0000  4 Re 2.70
Re: 0.2500 0.2500 0.7500  4 In 2.70, 4 Se 2.70
Re: 0.2500 0.7500 0.2500  4 In 2.70, 4 Se 2.70
Re: 0.7500 0.2500 0.2500  4 In 2.70, 4 Se 2.70
Re: 0.7500 0.7500 0.7500  4 In 2.70, 4 Se 2.70
Se: 0.0000 0.0000 0.5000  4 Re 2.70
Se: 0.0000 0.5000 0.0000  4 Re 2.70
Se: 0.5000 0.0000 0.0000  4 Re 2.70
Se: 0.5000 0.5000 0.5000  4 Re 2.70


# 3
The following is a DFT calculation (meta-GGA SCAN) of a crystal of InReSe relaxed with PBEsol.

Calculated values
- Formation energy without anion corrections: 0.322 eV per atom
- Symmetry: I4mm, No. 107
- Relative energy among the computed polymorphs: 0.31 kcal/mol of atoms

Lattice parameters (Å, degrees): 3.0197 3.0197 12.5977 90.00 90.00 90.00
Closest atoms and distances in Å follow each position.
Fractional positions:
In: 0.0000 0.0000 0.0000  4 Re 2.98, 4 In 3.02
In: 0.5000 0.5000 0.5000  4 Re 2.98, 4 In 3.02
Re: 0.0000 0.0000 0.6650  4 Se 2.52
Re: 0.5000 0.5000 0.1650  4 Se 2.52
Se: 0.0000 0.0000 0.2706  4 Re 2.52
Se: 0.5000 0.5000 0.7706  4 Re 2.52


# 4
The following is a DFT calculation (meta-GGA SCAN) of a crystal of In2ReSe relaxed with PBEsol.

Calculated values
- Formation energy without anion corrections: 0.483 eV per atom
- Symmetry: Cmm2, No. 35

Lattice parameters (Å, degrees): 3.0603 5.2515 10.2433 90.00 90.00 90.00
Closest atoms and distances in Å follow each position.
Fractional positions:
In: 0.0000 0.0000 0.0000  2 Re 2.84, 6 In 3.04-3.06
In: 0.0000 0.5000 0.2779  8 In 3.04-3.23
In: 0.5000 0.0000 0.2779  8 In 3.04-3.23
In: 0.5000 0.5000 0.0000  2 Re 2.84, 6 In 3.04-3.06
Re: 0.0000 0.5000 0.7668  2 Se 2.44
Re: 0.5000 0.0000 0.7668  2 Se 2.44
Se: 0.0000 0.0000 0.5816  2 Re 2.44
Se: 0.5000 0.5000 0.5816  2 Re 2.44


# 5
The following is a DFT calculation (meta-GGA SCAN) of a crystal of InReSe2 relaxed with PBEsol.

Calculated values
- Formation energy without anion corrections: 0.799 eV per atom
- Symmetry: P4/mmm, No. 123

Lattice parameters (Å, degrees): 4.7293 4.7293 3.1611 90.00 90.00 90.00
Closest atoms and distances in Å follow each position.
Fractional positions:
In: 0.0000 0.0000 0.0000  8 Se 2.84, 2 In 3.16
Re: 0.5000 0.5000 0.0000  8 Se 2.84, 2 Re 3.16
Se: 0.0000 0.5000 0.5000  4 In 2.84, 4 Re 2.84, 2 Se 3.16
Se: 0.5000 0.0000 0.5000  4 In 2.84, 4 Re 2.84, 2 Se 3.16


# 6
The following is a DFT calculation (meta-GGA SCAN) of a crystal of In2ReSe relaxed with PBEsol.

Calculated values
- Formation energy without anion corrections: 0.917 eV per atom
- Symmetry: F-43m, No. 216

Lattice parameters (Å, degrees): 6.6987 6.6987 6.6987 90.00 90.00 90.00
Closest atoms and distances in Å follow each position.
Fractional positions:
In: 0.0000 0.0000 0.0000  4 In 2.90, 4 Re 2.90
In: 0.0000 0.5000 0.5000  4 In 2.90, 4 Re 2.90
In: 0.2500 0.2500 0.2500  4 In 2.90, 4 Se 2.90
In: 0.2500 0.7500 0.7500  4 In 2.90, 4 Se 2.90
In: 0.5000 0.0000 0.5000  4 In 2.90, 4 Re 2.90
In: 0.5000 0.5000 0.0000  4 In 2.90, 4 Re 2.90
In: 0.7500 0.2500 0.7500  4 In 2.90, 4 Se 2.90
In: 0.7500 0.7500 0.2500  4 In 2.90, 4 Se 2.90
Re: 0.2500 0.2500 0.7500  4 In 2.90, 4 Se 2.90
Re: 0.2500 0.7500 0.2500  4 In 2.90, 4 Se 2.90
Re: 0.7500 0.2500 0.2500  4 In 2.90, 4 Se 2.90
Re: 0.7500 0.7500 0.7500  4 In 2.90, 4 Se 2.90
Se: 0.0000 0.0000 0.5000  4 In 2.90, 4 Re 2.90
Se: 0.0000 0.5000 0.0000  4 In 2.90, 4 Re 2.90
Se: 0.5000 0.0000 0.0000  4 In 2.90, 4 Re 2.90
Se: 0.5000 0.5000 0.5000  4 In 2.90, 4 Re 2.90


# 7
The following is a DFT calculation (meta-GGA SCAN) of a crystal of InRe2Se relaxed with PBEsol.

Calculated values
- Formation energy without anion corrections: 0.744 eV per atom
- Symmetry: Imm2, No. 44

Lattice parameters (Å, degrees): 3.0321 4.5223 9.7350 90.00 90.00 90.00
Closest atoms and distances in Å follow each position.
Fractional positions:
In: 0.0000 0.0000 0.0000  4 Re 2.73, 2 In 3.03
In: 0.5000 0.5000 0.5000  4 Re 2.73, 2 In 3.03
Re: 0.0000 0.0000 0.4874  2 Se 2.57, 2 Re 2.66, 4 In 2.73
Re: 0.0000 0.5000 0.2124  2 Re 2.66, 4 Se 2.79
Re: 0.5000 0.0000 0.7124  2 Re 2.66, 4 Se 2.79
Re: 0.5000 0.5000 0.9874  2 Se 2.57, 2 Re 2.66, 4 In 2.73
Se: 0.0000 0.5000 0.7744  6 Re 2.57-2.79
Se: 0.5000 0.0000 0.2744  6 Re 2.57-2.79


# 8
The following is a DFT calculation (meta-GGA SCAN) of a crystal of InReSe2 relaxed with PBEsol.

Calculated values
- Formation energy without anion corrections: 0.114 eV per atom
- Symmetry: Imm2, No. 44

Lattice parameters (Å, degrees): 3.0733 3.0814 17.7767 90.00 90.00 90.00
Closest atoms and distances in Å follow each position.
Fractional positions:
In: 0.0000 0.0000 0.0000  4 In 3.07-3.08, 6 Se 3.38-3.41
In: 0.5000 0.5000 0.5000  4 In 3.07-3.08, 6 Se 3.38-3.41
Re: 0.0000 0.5000 0.7454  6 Se 2.44-2.56
Re: 0.5000 0.0000 0.2454  6 Se 2.44-2.56
Se: 0.0000 0.0000 0.3520  2 Re 2.44
Se: 0.0000 0.5000 0.1690  4 Re 2.56
Se: 0.5000 0.0000 0.6690  4 Re 2.56
Se: 0.5000 0.5000 0.8520  2 Re 2.44


So what do the calculations give for total moment? Going down the list: 0.00, 0.00, 0.00, 0.71, 1.06, 0.00, 0.00, 0.00 μB/f.u..
So what do the calculations give for V? Going down the list: 21.15, 20.18, 19.15, 20.58, 17.68, 18.79, 16.69, 21.04 Å³/atom.